TaAl2Br, relaxed, DFT PBE; E_form (uncorrected) = 108 meV per atom; E = -41.15 eV for the cell shown; D(E_F) = 1.55 states/eV/f.u.; space group = No. 8
1.0
10.466 0.000 0.000
0.000 3.007 0.000
-1.183 0.000 4.888
Ta Al Br
2 4 2
Direct
0.000 0.000 0.000
0.500 0.500 0.000
0.267 0.000 0.870
0.480 0.000 0.521
0.767 0.500 0.870
0.980 0.500 0.521
0.190 0.500 0.309
0.690 0.000 0.309